A relaxed structure of Re3BPt. Source: the Alexandria database, functional PBE.

ρ = 18.31 g/cm3
D(E_F) = 5.68 states/eV per cell
E_form = 1.03 eV per formula unit
Raw total energy = -49.04 eV for the cell shown
ΔE to the lowest computed polymorph = 0 meV/atom

Lattice parameters (Å, degrees): 4.1080 4.1080 4.1080 90.00 90.00 90.00
Last column: nearest neighbours and their distance in Å.
Space group Pm-3m (No. 221)
Inequivalent atoms, fractional coordinates:
Re  0.0000  0.0000  0.5000  2 B 2.05
B  0.0000  0.0000  0.0000  6 Re 2.05
Pt  0.5000  0.5000  0.5000  12 Re 2.90